NdThMn4 | GGA-PBE | relaxed

Size of the total moment (μB/atom): 1.28
DOS(E_F) (states/eV per atom): 0.884
Formation energy from the elements (eV/atom): 0.167

Cell: 7.4638 7.4638 7.4638 Å, 90.00 90.00 90.00°
Space group F-43m (No. 216)
Symmetry-distinct sites (fractional):
Nd 0.0000 0.0000 0.0000 x4
Th 0.2500 0.2500 0.2500 x4
Mn 0.1248 0.1248 0.6248 x16

=====

Y3CoSn2 | GGA-PBE | relaxed

Size of the total moment (μB/atom): 0.00
DOS(E_F) (states/eV per atom): 0.687
Formation energy from the elements (eV/atom): -0.619

Cell: 12.1955 4.3155 11.5920 Å, 90.00 90.00 90.00°
Space group Pnma (No. 62)
Symmetry-distinct sites (fractional):
Y 0.0540 0.2500 0.1312 x4
Y 0.1223 0.7500 0.5487 x4
Y 0.2373 0.2500 0.7900 x4
Co 0.1289 0.2500 0.3671 x4
Sn 0.0058 0.7500 0.3137 x4
Sn 0.1900 0.7500 0.9940 x4

=====

NbAl2PbN | GGA-PBE | relaxed

Size of the total moment (μB/atom): 0.00
ΔE_f (raw) (eV/atom): 2.530
DOS(E_F) (states/eV per atom): 1.031

Cell: 5.1098 5.1098 5.3889 Å, 90.00 90.00 90.00°
Space group P4/mmm (No. 123)
Symmetry-distinct sites (fractional):
Nb 0.0000 0.0000 0.0000 x1
Al 0.0000 0.5000 0.5000 x2
Pb 0.0000 0.0000 0.5000 x1
N 0.5000 0.5000 0.0000 x1

=====

InCuHg2 | GGA-PBE | relaxed

Size of the total moment (μB/atom): 0.00
DOS(E_F) (states/eV per atom): 0.190
Formation energy from the elements (eV/atom): 0.204

Cell: 5.7000 10.6582 3.3625 Å, 90.00 119.43 90.00°
Space group C2/m (No. 12)
Symmetry-distinct sites (fractional):
In 0.0000 0.0000 0.0000 x2
Cu 0.0000 0.5000 0.0000 x2
Hg 0.2500 0.2500 0.0000 x4

=====

LaHoOs | GGA-PBE | relaxed

Size of the total moment (μB/atom): 0.00
Energy relative to the lowest polymorph listed for this composition (eV/f.u.): 0.01
DOS(E_F) (states/eV per atom): 0.621
Formation energy from the elements (eV/atom): -0.149

Cell: 3.4495 3.4495 13.7113 Å, 90.00 90.00 90.00°
Space group I4mm (No. 107)
Symmetry-distinct sites (fractional):
La 0.0000 0.0000 0.0000 x2
Ho 0.0000 0.0000 0.2473 x2
Os 0.0000 0.0000 0.6312 x2

=====

BaSiBr2 | GGA-PBE | relaxed

Size of the total moment (μB/atom): 0.50
ΔE_f (raw) (eV/atom): -0.627
Energy relative to the lowest polymorph listed for this composition (eV/f.u.): 0.90
DOS(E_F) (states/eV per atom): 1.056

Cell: 7.9599 7.9599 7.9599 Å, 90.00 90.00 90.00°
Space group Fm-3m (No. 225)
Symmetry-distinct sites (fractional):
Ba 0.0000 0.0000 0.0000 x4
Si 0.0000 0.0000 0.5000 x4
Br 0.2500 0.2500 0.2500 x8

=====

Tm6Zn5Ru | GGA-PBE | relaxed

Size of the total moment (μB/atom): 0.00
DOS(E_F) (states/eV per atom): 0.533
Formation energy from the elements (eV/atom): -0.409

Cell: 4.9244 14.7367 7.0129 Å, 90.00 90.00 90.00°
Space group Cmmm (No. 65)
Symmetry-distinct sites (fractional):
Tm 0.0000 0.0000 0.2393 x4
Tm 0.0000 0.3389 0.2445 x8
Zn 0.0000 0.1685 0.5000 x4
Zn 0.0000 0.1720 0.0000 x4
Zn 0.0000 0.5000 0.5000 x2
Ru 0.0000 0.5000 0.0000 x2

=====

TaTe2SI | GGA-PBE | relaxed

Size of the total moment (μB/atom): 0.33
ΔE_f (raw) (eV/atom): 0.534
Energy relative to the lowest polymorph listed for this composition (eV/f.u.): 0.00
DOS(E_F) (states/eV per atom): 1.345

Cell: 5.3606 5.3606 5.5829 Å, 90.00 90.00 90.00°
Space group P4/mmm (No. 123)
Symmetry-distinct sites (fractional):
Ta 0.0000 0.0000 0.0000 x1
Te 0.0000 0.5000 0.0000 x2
S 0.5000 0.5000 0.5000 x1
I 0.0000 0.0000 0.5000 x1

=====

BaGa2AsH2 | GGA-PBE | relaxed

Size of the total moment (μB/atom): 0.00
DOS(E_F) (states/eV per atom): 0.153
Total energy (eV for the cell shown): -41.50

Cell: 6.6541 5.3781 7.0495 Å, 90.00 100.11 90.00°
Space group P2_1/m (No. 11)
Symmetry-distinct sites (fractional):
Ba 0.2295 0.2500 0.3656 x2
Ga 0.2419 0.5065 0.8561 x4
As 0.4497 0.7500 0.2088 x2
H 0.0599 0.2500 0.6736 x2
H 0.1551 0.2500 0.9910 x2

=====

YAgTe3Pb | GGA-PBE | relaxed

Size of the total moment (μB/atom): 0.00
ΔE_f (raw) (eV/atom): -0.733

Cell: 8.9315 4.3769 9.9797 Å, 90.00 104.33 90.00°
Space group P2_1/m (No. 11)
Symmetry-distinct sites (fractional):
Y 0.1780 0.2500 0.1722 x2
Ag 0.4172 0.7500 0.4144 x2
Te 0.0722 0.2500 0.8480 x2
Te 0.2398 0.2500 0.4890 x2
Te 0.4068 0.7500 0.1281 x2
Pb 0.3060 0.7500 0.7505 x2

=====

Sr5HRh | GGA-PBE | relaxed

Size of the total moment (μB/atom): 0.00
DOS(E_F) (states/eV per atom): 0.687
Total energy (eV for the cell shown): -81.82

Cell: 11.2883 10.2285 11.2442 Å, 90.00 118.53 90.00°
Space group C2/c (No. 15)
Symmetry-distinct sites (fractional):
Sr 0.0000 0.1817 0.2500 x4
Sr 0.1074 0.1979 0.6526 x8
Sr 0.1714 0.4715 0.9548 x8
H 0.0000 0.3502 0.7500 x4
Rh 0.2500 0.2500 0.5000 x4

=====

Co3OsW | GGA-PBE | relaxed

Size of the total moment (μB/atom): 0.57
Energy relative to the lowest polymorph listed for this composition (eV/f.u.): 0.00
DOS(E_F) (states/eV per atom): 1.862
Formation energy from the elements (eV/atom): 1.916

Cell: 4.3500 4.3500 4.3500 Å, 90.00 90.00 90.00°
Space group Pm-3m (No. 221)
Symmetry-distinct sites (fractional):
Co 0.0000 0.0000 0.5000 x3
Os 0.0000 0.0000 0.0000 x1
W 0.5000 0.5000 0.5000 x1

=====

La3Al4Zn4 | GGA-PBE | relaxed

Size of the total moment (μB/atom): 0.00
DOS(E_F) (states/eV per atom): 0.911
Formation energy from the elements (eV/atom): -0.412

Cell: 27.1165 4.4400 4.1524 Å, 90.00 98.81 90.00°
Space group C2/m (No. 12)
Symmetry-distinct sites (fractional):
La 0.0000 0.0000 0.0000 x2
La 0.1497 0.5000 0.1498 x4
Al 0.0969 0.0000 0.5952 x4
Al 0.2487 0.5000 0.7488 x4
Zn 0.0490 0.5000 0.5481 x4
Zn 0.1927 0.0000 0.6925 x4

=====

In2Tc2As | GGA-PBE | relaxed

Size of the total moment (μB/atom): 0.00
DOS(E_F) (states/eV per atom): 0.615
Formation energy from the elements (eV/atom): 0.114

Cell: 6.4861 6.4861 4.3744 Å, 90.00 90.00 90.00°
Space group P4/mbm (No. 127)
Symmetry-distinct sites (fractional):
In 0.1600 0.3400 0.0000 x4
Tc 0.1510 0.6510 0.5000 x4
As 0.0000 0.0000 0.5000 x2

=====

FeRe2Pb | GGA-PBE | relaxed

Size of the total moment (μB/atom): 0.71
DOS(E_F) (states/eV per atom): 0.843
Formation energy from the elements (eV/atom): 0.617

Cell: 2.9399 3.8524 5.9892 Å, 90.00 90.00 90.00°
Space group Pmm2 (No. 25)
Symmetry-distinct sites (fractional):
Fe 0.0000 0.0000 0.0000 x1
Re 0.0000 0.0000 0.5951 x1
Re 0.5000 0.5000 0.7866 x1
Pb 0.5000 0.5000 0.2755 x1

=====

TaTlZn2 | GGA-PBE | relaxed

Size of the total moment (μB/atom): 0.00
Energy relative to the lowest polymorph listed for this composition (eV/f.u.): 0.75
DOS(E_F) (states/eV per atom): 0.695
Formation energy from the elements (eV/atom): 0.394

Cell: 3.0341 4.0766 5.9843 Å, 90.00 90.00 90.00°
Space group Pmm2 (No. 25)
Symmetry-distinct sites (fractional):
Ta 0.0000 0.0000 0.0000 x1
Tl 0.5000 0.5000 0.2762 x1
Zn 0.0000 0.0000 0.5485 x1
Zn 0.5000 0.5000 0.7789 x1

=====

TcGeNO2 | GGA-PBE | relaxed

Size of the total moment (μB/atom): 0.05
ΔE_f (raw) (eV/atom): -0.339
DOS(E_F) (states/eV per atom): 0.578

Cell: 3.9180 3.9180 3.9119 Å, 90.00 90.00 90.00°
Space group P4/mmm (No. 123)
Symmetry-distinct sites (fractional):
Tc 0.0000 0.0000 0.0000 x1
Ge 0.5000 0.5000 0.5000 x1
N 0.0000 0.0000 0.5000 x1
O 0.0000 0.5000 0.0000 x2

=====

YEr3Al | GGA-PBE | relaxed

Size of the total moment (μB/atom): 0.00
Energy relative to the lowest polymorph listed for this composition (eV/f.u.): 0.87
DOS(E_F) (states/eV per atom): 1.393
Formation energy from the elements (eV/atom): 0.019

Cell: 13.2780 13.4175 6.6257 Å, 90.00 98.92 90.00°
Space group C2/c (No. 15)
Symmetry-distinct sites (fractional):
Y 0.1087 0.1827 0.1336 x8
Er 0.1045 0.0740 0.6160 x8
Er 0.1501 0.3425 0.5182 x8
Er 0.1803 0.4182 0.0256 x8
Al 0.0000 0.2752 0.7500 x4
Al 0.0000 0.4951 0.2500 x4

=====

PmTmMn17 | GGA-PBE | relaxed

Size of the total moment (μB/atom): 0.22
DOS(E_F) (states/eV per atom): 0.963
Formation energy from the elements (eV/atom): 0.016

Cell: 8.6617 8.6617 11.6612 Å, 90.00 90.00 120.00°
Space group R3m (No. 160, hexagonal axes)
Symmetry-distinct sites (fractional):
Pm 0.0000 0.0000 0.0000 x3
Tm 0.0000 0.0000 0.7100 x3
Mn 0.0000 0.0000 0.2578 x3
Mn 0.0000 0.0000 0.4568 x3
Mn 0.0006 0.2750 0.3574 x18
Mn 0.0158 0.5079 0.2187 x9
Mn 0.1673 0.3345 0.1911 x9
Mn 0.1734 0.3468 0.8272 x9

=====

SrU2Tl3Te6 | GGA-PBE | relaxed

Size of the total moment (μB/atom): 0.42
ΔE_f (raw) (eV/atom): -0.722
DOS(E_F) (states/eV per atom): 1.408

Cell: 7.9044 13.6588 8.5919 Å, 90.00 107.75 90.00°
Space group C2/m (No. 12)
Symmetry-distinct sites (fractional):
Sr 0.0000 0.0000 0.0000 x2
U 0.0000 0.3322 0.0000 x4
Tl 0.0000 0.1602 0.5000 x4
Tl 0.0000 0.5000 0.5000 x2
Te 0.2168 0.5000 0.2133 x4
Te 0.2489 0.3228 0.7799 x8

=====

Hf2InCu2 | GGA-PBE | relaxed

Size of the total moment (μB/atom): 0.00
DOS(E_F) (states/eV per atom): 0.699
Formation energy from the elements (eV/atom): 0.081

Cell: 3.3000 3.3000 17.3791 Å, 90.00 90.00 90.00°
Space group I4/mmm (No. 139)
Symmetry-distinct sites (fractional):
Hf 0.0000 0.0000 0.1200 x4
In 0.0000 0.0000 0.5000 x2
Cu 0.0000 0.5000 0.2500 x4

=====

Ac2Pm6Pr | GGA-PBE | relaxed

Size of the total moment (μB/atom): 0.00
Energy relative to the lowest polymorph listed for this composition (eV/f.u.): 1.19
DOS(E_F) (states/eV per atom): 1.605
Formation energy from the elements (eV/atom): 0.166

Cell: 13.4685 7.7764 6.4367 Å, 90.00 90.02 90.00°
Space group C2/m (No. 12)
Symmetry-distinct sites (fractional):
Ac 0.1665 0.0000 0.2941 x4
Pm 0.0938 0.2205 0.7973 x8
Pm 0.1856 0.5000 0.2039 x4
Pr 0.0000 0.5000 0.5000 x2

=====

NaDyTmIn | GGA-PBE | relaxed

Size of the total moment (μB/atom): 0.00
DOS(E_F) (states/eV per atom): 0.896
Formation energy from the elements (eV/atom): -0.102

Cell: 7.5798 7.5798 7.5798 Å, 90.00 90.00 90.00°
Space group F-43m (No. 216)
Symmetry-distinct sites (fractional):
Na 0.0000 0.0000 0.0000 x4
Dy 0.2500 0.2500 0.2500 x4
Tm 0.2500 0.2500 0.7500 x4
In 0.0000 0.0000 0.5000 x4